PrNd2YAs4 (PBE, optimized geometry); N(E_F) = 0.08 states/eV/atom; total energy = -6.4350 eV/atom; M_tot = 0.000 μB/f.u.; theoretical density = 6.3 g/cm³
1.0
7.352 0.000 0.000
0.000 4.250 0.000
-2.450 0.000 6.932
Pr Nd Y As
1 2 1 4
direct
0.000 0.000 0.000 Pr
0.000 0.500 0.500 Nd
0.500 0.000 0.500 Nd
0.500 0.500 0.000 Y
0.254 0.500 0.248 As
0.256 0.000 0.755 As
0.744 0.000 0.245 As
0.746 0.500 0.752 As